Entry 1:
## FeCu2IrBr (PBE-GGA)

Data for a relaxed structure of FeCu2IrBr.

Symmetry: P4/mmm, No. 123

a b c (Å): 4.4335 4.4335 4.4055
angles (deg): 90.00 90.00 90.00
Positions (direct):
Fe 0.0000 0.0000 0.0000
Cu 0.0000 0.5000 0.5000
Cu 0.5000 0.0000 0.5000
Ir 0.5000 0.5000 0.0000
Br 0.0000 0.0000 0.5000



Entry 2:
## KFe2CuBr8 (PBE-GGA)

Data for a relaxed structure of KFe2CuBr8.

Symmetry: P-3, No. 147

a b c (Å): 6.7588 6.7588 9.5293
angles (deg): 90.00 90.00 120.00
Positions (direct):
K 0.0000 0.0000 0.0000
Fe 0.3333 0.6667 0.7408
Fe 0.6667 0.3333 0.2592
Cu 0.0000 0.0000 0.5000
Br 0.0101 0.3199 0.6663
Br 0.3098 0.9899 0.6663
Br 0.3199 0.3098 0.3337
Br 0.3333 0.6667 0.9878
Br 0.6667 0.3333 0.0122
Br 0.6801 0.6902 0.6663
Br 0.6902 0.0101 0.3337
Br 0.9899 0.6801 0.3337



Entry 3:
## KFeCuBr5 (PBE-GGA)

Data for a relaxed structure of KFeCuBr5.

Symmetry: C2/c, No. 15

a b c (Å): 7.9040 7.9040 8.8310
angles (deg): 100.75 100.75 103.64
Positions (direct):
K 0.1559 0.8441 0.7500
K 0.8441 0.1559 0.2500
Fe 0.1843 0.8157 0.2500
Fe 0.8157 0.1843 0.7500
Cu 0.5000 0.5000 0.0000
Cu 0.5000 0.5000 0.5000
Br 0.0884 0.2396 0.9414
Br 0.1775 0.5784 0.3811
Br 0.2396 0.0884 0.4414
Br 0.4216 0.8225 0.1189
Br 0.4288 0.5712 0.7500
Br 0.5712 0.4288 0.2500
Br 0.5784 0.1775 0.8811
Br 0.7604 0.9116 0.5586
Br 0.8225 0.4216 0.6189
Br 0.9116 0.7604 0.0586



Entry 4:
## KFeCu2Br6 (PBE-GGA)

Data for a relaxed structure of KFeCu2Br6.

Symmetry: C2/c, No. 15

a b c (Å): 9.4828 9.4828 7.9787
angles (deg): 108.57 108.57 83.55
Positions (direct):
K 0.1794 0.8206 0.7500
K 0.8206 0.1794 0.2500
Fe 0.1799 0.8201 0.2500
Fe 0.8201 0.1799 0.7500
Cu 0.2752 0.3626 0.8126
Cu 0.3626 0.2752 0.3126
Cu 0.6374 0.7248 0.6874
Cu 0.7248 0.6374 0.1874
Br 0.0446 0.1856 0.6765
Br 0.1661 0.6043 0.9914
Br 0.1856 0.0446 0.1765
Br 0.2581 0.4311 0.5433
Br 0.3957 0.8339 0.5086
Br 0.4311 0.2581 0.0433
Br 0.5689 0.7419 0.9567
Br 0.6043 0.1661 0.4914
Br 0.7419 0.5689 0.4567
Br 0.8144 0.9554 0.8235
Br 0.8339 0.3957 0.0086
Br 0.9554 0.8144 0.3235



Entry 5:
## FeCu2OsBr (PBE-GGA)

Data for a relaxed structure of FeCu2OsBr.

Symmetry: P4/mmm, No. 123

a b c (Å): 4.4259 4.4259 4.7383
angles (deg): 90.00 90.00 90.00
Positions (direct):
Fe 0.0000 0.0000 0.0000
Cu 0.0000 0.5000 0.5000
Cu 0.5000 0.0000 0.5000
Os 0.5000 0.5000 0.0000
Br 0.5000 0.5000 0.5000



Entry 6:
## Fe2CuPBr (PBE-GGA)

Data for a relaxed structure of Fe2CuPBr.

Symmetry: P4/mmm, No. 123

a b c (Å): 4.5637 4.5637 4.4143
angles (deg): 90.00 90.00 90.00
Positions (direct):
Fe 0.0000 0.5000 0.0000
Fe 0.5000 0.0000 0.0000
Cu 0.0000 0.0000 0.5000
P 0.0000 0.0000 0.0000
Br 0.5000 0.5000 0.5000



Entry 7:
## Fe2CuPtBr (PBE-GGA)

Data for a relaxed structure of Fe2CuPtBr.

Symmetry: P4/mmm, No. 123
ΔE to the lowest computed polymorph: 0.00 eV/f.u.

a b c (Å): 4.5489 4.5489 4.6561
angles (deg): 90.00 90.00 90.00
Positions (direct):
Fe 0.0000 0.5000 0.0000
Fe 0.5000 0.0000 0.0000
Cu 0.0000 0.0000 0.0000
Pt 0.0000 0.0000 0.5000
Br 0.5000 0.5000 0.5000



Entry 8:
## Fe2CuPtBr (PBE-GGA)

Data for a relaxed structure of Fe2CuPtBr.

Symmetry: P4/mmm, No. 123
ΔE to the lowest computed polymorph: 0.96 eV/f.u.

a b c (Å): 4.3307 4.3307 4.7982
angles (deg): 90.00 90.00 90.00
Positions (direct):
Fe 0.0000 0.5000 0.0000
Fe 0.5000 0.0000 0.0000
Cu 0.0000 0.0000 0.5000
Pt 0.5000 0.5000 0.5000
Br 0.5000 0.5000 0.0000



Entry 9:
## RbFeCuBr5 (PBE-GGA)

Data for a relaxed structure of RbFeCuBr5.

Symmetry: C2/c, No. 15

a b c (Å): 8.0876 8.0876 8.8514
angles (deg): 100.13 100.13 103.97
Positions (direct):
Rb 0.1540 0.8460 0.7500
Rb 0.8460 0.1540 0.2500
Fe 0.1912 0.8088 0.2500
Fe 0.8088 0.1912 0.7500
Cu 0.5000 0.5000 0.0000
Cu 0.5000 0.5000 0.5000
Br 0.0757 0.2455 0.9365
Br 0.1857 0.5772 0.3832
Br 0.2455 0.0757 0.4365
Br 0.4228 0.8143 0.1168
Br 0.4320 0.5680 0.7500
Br 0.5680 0.4320 0.2500
Br 0.5772 0.1857 0.8832
Br 0.7545 0.9243 0.5635
Br 0.8143 0.4228 0.6168
Br 0.9243 0.7545 0.0635



Entry 10:
## FeCuRu2Br (PBE-GGA)

Data for a relaxed structure of FeCuRu2Br.

Symmetry: P4/mmm, No. 123

a b c (Å): 4.6808 4.6808 4.5490
angles (deg): 90.00 90.00 90.00
Positions (direct):
Fe 0.0000 0.0000 0.0000
Cu 0.5000 0.5000 0.5000
Ru 0.0000 0.5000 0.5000
Ru 0.5000 0.0000 0.5000
Br 0.5000 0.5000 0.0000



Entry 11:
## ScFeCu2Br (PBE-GGA)

Data for a relaxed structure of ScFeCu2Br.

Symmetry: P4/mmm, No. 123

a b c (Å): 4.5689 4.5689 4.9472
angles (deg): 90.00 90.00 90.00
Positions (direct):
Sc 0.0000 0.0000 0.0000
Fe 0.5000 0.5000 0.0000
Cu 0.0000 0.5000 0.5000
Cu 0.5000 0.0000 0.5000
Br 0.0000 0.0000 0.5000



Entry 12:
## FeCuSe2Br (PBE-GGA)

Data for a relaxed structure of FeCuSe2Br.

Symmetry: P4/mmm, No. 123
ΔE to the lowest computed polymorph: 0.00 eV/f.u.

a b c (Å): 4.5190 4.5190 5.3758
angles (deg): 90.00 90.00 90.00
Positions (direct):
Fe 0.0000 0.0000 0.0000
Cu 0.5000 0.5000 0.5000
Se 0.0000 0.5000 0.0000
Se 0.5000 0.0000 0.0000
Br 0.0000 0.0000 0.5000



So what do the calculations give for ΔE_f (raw)? Going down the list: 1426; -655; -749; -642; 1795; 402; 1048; 1241; -760; 1753; 917; 518 meV/atom.
So what do the calculations give for energy? Going down the list: -4.012; -3.614; -3.501; -3.421; -4.116; -5.219; -4.699; -4.506; -3.496; -4.803; -4.015; -3.723 eV/atom.
So what do the calculations give for ρ? Going down the list: 8.73; 3.76; 3.63; 3.61; 8.11; 5.17; 7.76; 8.31; 3.73; 6.69; 4.95; 5.40 g/cm3.